Record 1
BeW2Cl: relaxed, PBE.

Results
- formation energy from raw total energies (eV/atom) = 0.674
- polymorph energy (0 for the lowest one) (eV/atom) = 0.360
- magnetic moment (μB/f.u.) = 0.0

abc: 4.305 2.760 5.074
angles: 74.43 90.00 90.00
Positions (direct):
Be 0.000 0.570 0.482
W 0.000 0.825 0.981
W 0.500 0.170 0.281
Cl 0.500 0.934 0.756


Record 2
Sm4Br2N: relaxed, PBE.

Results
- formation energy from raw total energies (eV/atom) = -0.626
- magnetic moment (μB/f.u.) = 0.0

abc: 4.729 4.729 9.953
angles: 76.26 76.26 90.00
Positions (direct):
Br 0.699 0.699 0.602
Br 0.301 0.301 0.398
Sm 0.859 0.859 0.281
Sm 0.141 0.141 0.719
Sm 0.000 0.500 0.000
Sm 0.500 0.000 0.000
N 0.000 0.000 0.000


Record 3
Li4Sm3ThSe8: relaxed, PBE.

Results
- formation energy from raw total energies (eV/atom) = -1.629
- magnetic moment (μB/f.u.) = 0.0

abc: 8.278 8.103 8.277
angles: 120.74 120.01 90.00
Positions (direct):
Li 0.500 0.000 0.000
Li 0.500 0.000 0.500
Li 0.000 0.000 0.000
Li 0.000 0.000 0.500
Sm 0.500 0.500 0.000
Sm 0.500 0.500 0.500
Sm 0.000 0.500 0.500
Th 0.000 0.500 0.000
Se 0.254 0.762 0.009
Se 0.254 0.762 0.507
Se 0.247 0.240 0.493
Se 0.755 0.762 0.009
Se 0.245 0.238 0.991
Se 0.753 0.760 0.507
Se 0.746 0.238 0.493
Se 0.746 0.238 0.991


Record 4
PaGa2Ni2: relaxed, PBE.

Results
- polymorph energy (0 for the lowest one) (eV/atom) = 0.006
- magnetic moment (μB/f.u.) = 0.0
- formation energy (eV/atom) = -0.464

abc: 3.841 3.841 10.977
angles: 90.00 90.00 90.00
Positions (direct):
Pa 0.750 0.750 0.250
Pa 0.250 0.250 0.750
Ga 0.250 0.750 0.000
Ga 0.750 0.250 0.500
Ga 0.250 0.750 0.500
Ga 0.750 0.250 0.000
Ni 0.750 0.750 0.644
Ni 0.250 0.250 0.144
Ni 0.750 0.750 0.856
Ni 0.250 0.250 0.356


Record 5
Pt4Pb: relaxed, PBE.

Results
- polymorph energy (0 for the lowest one) (eV/atom) = 0.111
- magnetic moment (μB/f.u.) = 0.0
- formation energy (eV/atom) = 0.130

abc: 7.080 7.080 7.080
angles: 148.55 148.55 45.08
Positions (direct):
Pt 0.750 0.250 0.500
Pt 0.399 0.399 0.000
Pt 0.601 0.601 0.000
Pt 0.250 0.750 0.500
Pb 0.000 0.000 0.000


Record 6
LiGa3Cu: relaxed, PBE.

Results
- polymorph energy (0 for the lowest one) (eV/atom) = 0.240
- magnetic moment (μB/f.u.) = 0.0
- formation energy (eV/atom) = 0.102

abc: 4.707 4.707 4.707
angles: 90.00 90.00 90.00
Positions (direct):
Cu 0.000 0.000 0.000
Ga 0.000 0.500 0.000
Ga 0.000 0.000 0.500
Ga 0.500 0.000 0.000
Li 0.500 0.500 0.500


Record 7
Cs3CuF4: relaxed, PBE.

Results
- formation energy from raw total energies (eV/atom) = -2.167
- magnetic moment (μB/f.u.) = 0.1

abc: 6.290 6.290 6.290
angles: 104.32 112.11 112.11
Positions (direct):
Cs 0.500 0.750 0.250
Cs 0.000 0.000 0.000
Cs 0.500 0.250 0.750
Cu 0.000 0.500 0.500
F 0.573 0.287 0.287
F 0.000 0.287 0.713
F 0.000 0.713 0.287
F 0.427 0.713 0.713


Record 8
TbPr8Tl2: relaxed, PBE.

Results
- magnetic moment (μB/f.u.) = 0.0
- formation energy (eV/atom) = -0.051

abc: 6.289 10.184 10.184
angles: 39.57 65.37 65.37
Positions (direct):
Tb 0.000 0.000 0.000
Pr 0.228 0.087 0.565
Pr 0.228 0.565 0.087
Pr 0.772 0.913 0.435
Pr 0.266 0.495 0.495
Pr 0.772 0.435 0.913
Pr 0.325 0.127 0.127
Pr 0.675 0.873 0.873
Pr 0.734 0.505 0.505
Tl 0.750 0.323 0.323
Tl 0.250 0.677 0.677


Record 9
Tb4Y2Mg: relaxed, PBE.

Results
- polymorph energy (0 for the lowest one) (eV/atom) = 0.000
- magnetic moment (μB/f.u.) = 0.0
- formation energy (eV/atom) = 0.066

abc: 3.655 6.453 19.556
angles: 85.90 90.01 106.45
Positions (direct):
Tb 0.939 0.878 0.141
Tb 0.978 0.955 0.346
Tb 0.061 0.122 0.859
Tb 0.022 0.046 0.654
Tb 0.700 0.402 0.743
Tb 0.300 0.598 0.257
Tb 0.500 0.000 0.000
Tb 0.500 0.000 0.500
Y 0.234 0.468 0.425
Y 0.787 0.575 0.916
Y 0.213 0.425 0.084
Y 0.766 0.532 0.575
Mg 0.401 0.802 0.781
Mg 0.599 0.198 0.219


Record 10
U3Si4Pd7: relaxed, PBE.

Results
- formation energy from raw total energies (eV/atom) = -0.559
- magnetic moment (μB/f.u.) = 6.6

abc: 4.050 8.002 8.273
angles: 71.79 75.83 75.34
Positions (direct):
U 0.318 0.185 0.179
U 0.682 0.815 0.821
U 0.000 0.500 0.500
Si 0.658 0.441 0.242
Si 0.342 0.559 0.758
Si 0.892 0.888 0.328
Si 0.108 0.112 0.672
Pd 0.308 0.855 0.529
Pd 0.490 0.228 0.791
Pd 0.831 0.409 0.929
Pd 0.692 0.145 0.471
Pd 0.169 0.591 0.071
Pd 0.000 0.000 0.000
Pd 0.510 0.772 0.209


Record 11
Hg2IN: relaxed, PBE.

Results
- formation energy from raw total energies (eV/atom) = 1.302
- polymorph energy (0 for the lowest one) (eV/atom) = 0.940
- magnetic moment (μB/f.u.) = 2.6

abc: 5.473 5.473 5.473
angles: 60.00 60.00 60.00
Positions (direct):
I 0.500 0.500 0.500
Hg 0.250 0.250 0.250
Hg 0.750 0.750 0.750
N 0.000 0.000 0.000